Here is a relaxed IrRhCl crystal from Alexandria. Energies are from PBE.

Values from the calculation:
energy above the lowest structure with this stoichiometry: 0.063 eV per formula unit
D(E_F): 0.862 states/eV per atom
SG: No. 42

Structure (extended XYZ):
```
3
Lattice="7.0156 0.0077 -0.0046 6.0920 2.7536 -0.0055 0.9237 -1.3364 2.3986" Properties=species:S:1:pos:R:3 pbc="T T T"
Cl 0.9248 -1.3361 2.3984
Ir 4.9870 0.0302 1.5953
Rh 9.0432 1.3943 0.7934
```